[1]
Ac2PmEu (PBE-GGA, optimized geometry); total magnetic moment = 22.64 Bohr magnetons per cell; formation energy from the elements = 0.015 eV per atom; total energy = -5.7950 eV/atom
1.0
3.8958 0.0000 0.0000
-1.9479 3.3738 0.0000
0.0000 0.0000 37.7240
Ac Pm Eu
6 3 3
direct
0.0000 0.0000 0.2470
0.0000 0.0000 0.7530
0.3333 0.6667 0.4196
0.3333 0.6667 0.9137
0.6667 0.3333 0.0863
0.6667 0.3333 0.5804
0.0000 0.0000 0.5000
0.3333 0.6667 0.1667
0.6667 0.3333 0.8333
0.0000 0.0000 0.0000
0.3333 0.6667 0.6667
0.6667 0.3333 0.3333

---

[2]
AcPmEuSc (PBE-GGA, optimized geometry); total magnetic moment = 29.31 Bohr magnetons per cell; formation energy from the elements = 0.181 eV per atom; total energy = -6.1855 eV/atom
1.0
8.2828 0.0000 0.0000
0.0000 8.2828 0.0000
0.0000 0.0000 8.2828
Ac Pm Eu Sc
4 4 4 4
direct
0.0000 0.0000 0.0000
0.0000 0.5000 0.5000
0.5000 0.0000 0.5000
0.5000 0.5000 0.0000
0.2500 0.2500 0.7500
0.2500 0.7500 0.2500
0.7500 0.2500 0.2500
0.7500 0.7500 0.7500
0.0000 0.0000 0.5000
0.0000 0.5000 0.0000
0.5000 0.0000 0.0000
0.5000 0.5000 0.5000
0.2500 0.2500 0.2500
0.2500 0.7500 0.7500
0.7500 0.2500 0.7500
0.7500 0.7500 0.2500

---

[3]
AcPmSmEu (PBE-GGA, optimized geometry); total magnetic moment = 31.77 Bohr magnetons per cell; formation energy from the elements = 0.149 eV per atom; total energy = -5.8147 eV/atom
1.0
8.5005 0.0000 0.0000
0.0000 8.5005 0.0000
0.0000 0.0000 8.5005
Ac Pm Sm Eu
4 4 4 4
direct
0.0000 0.0000 0.0000
0.0000 0.5000 0.5000
0.5000 0.0000 0.5000
0.5000 0.5000 0.0000
0.2500 0.2500 0.2500
0.2500 0.7500 0.7500
0.7500 0.2500 0.7500
0.7500 0.7500 0.2500
0.2500 0.2500 0.7500
0.2500 0.7500 0.2500
0.7500 0.2500 0.2500
0.7500 0.7500 0.7500
0.0000 0.0000 0.5000
0.0000 0.5000 0.0000
0.5000 0.0000 0.0000
0.5000 0.5000 0.5000

---

[4]
SrAcPmEu (PBE-GGA, optimized geometry); total magnetic moment = 29.35 Bohr magnetons per cell; formation energy from the elements = 0.143 eV per atom; total energy = -5.0605 eV/atom
1.0
8.8209 0.0000 0.0000
0.0000 8.8209 0.0000
0.0000 0.0000 8.8209
Sr Ac Pm Eu
4 4 4 4
direct
0.0000 0.0000 0.0000
0.0000 0.5000 0.5000
0.5000 0.0000 0.5000
0.5000 0.5000 0.0000
0.2500 0.2500 0.7500
0.2500 0.7500 0.2500
0.7500 0.2500 0.2500
0.7500 0.7500 0.7500
0.0000 0.0000 0.5000
0.0000 0.5000 0.0000
0.5000 0.0000 0.0000
0.5000 0.5000 0.5000
0.2500 0.2500 0.2500
0.2500 0.7500 0.7500
0.7500 0.2500 0.7500
0.7500 0.7500 0.2500